No. 1
GGA-PBE Ba4Hg2O, relaxed; space group = I4/mmm; formation energy without anion corrections = -6.60 eV/f.u.; total DFT energy (no corrections) = -2.8361 eV/atom
1.0
5.459 0.000 0.000
0.000 5.459 0.000
-2.730 -2.730 8.756
Ba Hg O
4 2 1
Cartesian
2.730 2.730 5.777
2.730 0.000 0.000
0.000 0.000 2.979
0.000 2.730 0.000
0.000 0.000 6.458
2.730 2.730 2.298
0.000 0.000 0.000

---

No. 2
GGA-PBE La2Ce2Ge4Os, relaxed; space group = I4/mmm; total DFT energy (no corrections) = -6.2132 eV/atom
1.0
-2.318 -3.739 4.916
5.575 3.133 1.623
-4.116 4.900 -1.604
Ge Ce La Os
4 2 2 1
Cartesian
-0.085 4.158 2.532
3.211 3.564 0.836
-1.753 4.469 -0.817
-0.775 0.135 2.403
0.468 2.579 0.006
0.990 5.453 0.013
-2.853 2.588 1.661
1.993 1.705 3.274
0.000 0.000 0.000